Entry 1:
Material: KCaB3
Method: DFT, SCAN
State: single point on PBEsol structure

a b c (Å): 4.715 4.715 4.715
angles (deg): 90.00 90.00 90.00
Fractional coordinates of all 5 atoms:
1 Ca 0.500 0.500 0.500
2 B 0.000 0.500 0.000
3 B 0.000 0.000 0.500
4 B 0.500 0.000 0.000
5 K 0.000 0.000 0.000

Output
- space group = Pm-3m, No. 221

***

Entry 2:
Material: K2CaBMo
Method: DFT, SCAN
State: single point on PBEsol structure

a b c (Å): 5.618 6.162 6.162
angles (deg): 90.00 90.00 90.00
Fractional coordinates of all 5 atoms:
1 K 0.000 0.000 0.500
2 K 0.000 0.500 0.000
3 Mo 0.000 0.000 0.000
4 B 0.500 0.500 0.500
5 Ca 0.500 0.000 0.000

Output
- space group = P4/mmm, No. 123

***

Entry 3:
Material: KCaRe2B
Method: DFT, SCAN
State: single point on PBEsol structure

a b c (Å): 4.898 5.046 5.046
angles (deg): 90.00 90.00 90.00
Fractional coordinates of all 5 atoms:
1 Re 0.000 0.000 0.500
2 Re 0.000 0.500 0.000
3 Ca 0.000 0.000 0.000
4 B 0.500 0.000 0.000
5 K 0.500 0.500 0.500

Output
- space group = P4/mmm, No. 123

***

Entry 4:
Material: CaLaB3
Method: DFT, SCAN
State: single point on PBEsol structure

a b c (Å): 4.698 4.698 4.698
angles (deg): 90.00 90.00 90.00
Fractional coordinates of all 5 atoms:
1 Ca 0.500 0.500 0.500
2 B 0.000 0.500 0.000
3 B 0.000 0.000 0.500
4 B 0.500 0.000 0.000
5 La 0.000 0.000 0.000

Output
- space group = Pm-3m, No. 221

***

Asked for energy of formation from the pure elements across the records above, the calculation gives 2631, 2041, 3099, 1642 meV/atom in order.